A PBEsol-optimized structure of MgCr3Mo, computed with SCAN.

energy of formation from the pure elements	1.884	eV per atom
electronic total energy	-17.119	eV/atom
crystal system	cubic
theoretical density	5.61	g/cm³
size of the total moment	7.901	μB/cell

Structure (POSCAR):
```
MgCr3Mo
1.0
4.3416 0.0000 0.0000
0.0000 4.3416 0.0000
0.0000 0.0000 4.3416
Cr Mo Mg
3 1 1
Direct
0.0000 0.5000 0.0000 Cr
0.0000 0.0000 0.5000 Cr
0.5000 0.0000 0.0000 Cr
0.5000 0.5000 0.5000 Mo
0.0000 0.0000 0.0000 Mg
```


A PBEsol-optimized structure of Hf2SbI, computed with SCAN.

electronic total energy	-50.022	eV/atom
crystal system	cubic
theoretical density	11.70	g/cm³
ΔE_f (raw)	-0.185	eV per atom
size of the total moment	0.000	μB/cell

Structure (POSCAR):
```
Hf2SbI
1.0
4.9538 0.0000 0.0000
2.4769 4.2901 0.0000
2.4769 1.4300 4.0448
Sb Hf I
1 2 1
Direct
0.0000 0.0000 0.0000 Sb
0.2500 0.2500 0.2500 Hf
0.7500 0.7500 0.7500 Hf
0.5000 0.5000 0.5000 I
```


A PBEsol-optimized structure of Be2CrIr2, computed with SCAN.

energy of formation from the pure elements	-0.570	eV per atom
electronic total energy	-34.428	eV/atom
crystal system	tetragonal
theoretical density	13.48	g/cm³
size of the total moment	6.259	μB/cell

Structure (POSCAR):
```
Be2CrIr2
1.0
-2.5039 -0.7394 -0.8704
1.6802 -6.1400 0.3820
-2.0446 -0.1839 6.0378
Be Ir Cr
4 4 2
Direct
0.0000 0.8804 0.6196 Be
0.0000 0.3804 0.8804 Be
0.0000 0.1196 0.3804 Be
0.0000 0.6196 0.1196 Be
0.5000 0.8234 0.3234 Ir
0.5000 0.6766 0.8234 Ir
0.5000 0.1766 0.6766 Ir
0.5000 0.3234 0.1766 Ir
0.0000 0.5000 0.5000 Cr
0.0000 0.0000 0.0000 Cr
```


A PBEsol-optimized structure of BaHfHg2, computed with SCAN.

energy of formation from the pure elements	0.074	eV per atom
electronic total energy	-59.565	eV/atom
crystal system	cubic
theoretical density	11.16	g/cm³
size of the total moment	0.125	μB/cell

Structure (POSCAR):
```
BaHfHg2
1.0
5.3242 0.0000 0.0000
2.6621 4.6109 0.0000
2.6621 1.5370 4.3472
Ba Hf Hg
1 1 2
Direct
0.0000 0.0000 0.0000 Ba
0.5000 0.5000 0.5000 Hf
0.7500 0.7500 0.7500 Hg
0.2500 0.2500 0.2500 Hg
```


A PBEsol-optimized structure of Tl2MoSe, computed with SCAN.

electronic total energy	-48.985	eV/atom
offset from the most stable computed form	0.93	eV/f.u.
crystal system	cubic
theoretical density	11.11	g/cm³
ΔE_f (raw)	0.936	eV per atom
size of the total moment	3.662	μB/cell

Structure (POSCAR):
```
Tl2MoSe
1.0
-1.8778 0.7033 4.5566
2.8326 -0.8133 4.0123
1.5545 3.8345 2.7683
Se Tl Mo
1 2 1
Direct
0.5000 0.5000 0.5000 Se
0.2500 0.2500 0.2500 Tl
0.7500 0.7500 0.7500 Tl
0.0000 0.0000 0.0000 Mo
```


A PBEsol-optimized structure of Ca2CdPt, computed with SCAN.

energy of formation from the pure elements	-0.706	eV per atom
electronic total energy	-30.690	eV/atom
crystal system	orthorhombic
theoretical density	6.43	g/cm³
size of the total moment	0.000	μB/cell

Structure (POSCAR):
```
Ca2CdPt
1.0
-4.0195 -0.6056 0.1291
0.6169 -4.3128 -1.0231
2.3651 -0.9154 5.2848
Cd Ca Pt
1 2 1
Direct
0.6972 0.0000 0.3945 Cd
0.2720 0.5000 0.5440 Ca
0.9854 0.0000 0.9707 Ca
0.5518 0.5000 0.1036 Pt
```


A PBEsol-optimized structure of SrCa3Au, computed with SCAN.

energy of formation from the pure elements	-0.443	eV per atom
electronic total energy	-24.527	eV/atom
crystal system	cubic
theoretical density	3.51	g/cm³
size of the total moment	0.137	μB/cell

Structure (POSCAR):
```
SrCa3Au
1.0
-0.8693 -5.5844 -1.1265
1.8193 0.8078 -5.4081
5.3986 -1.1714 1.6411
Sr Ca Au
1 3 1
Direct
0.5000 0.5000 0.5000 Sr
0.0000 0.5000 0.0000 Ca
0.0000 0.0000 0.5000 Ca
0.5000 0.0000 0.0000 Ca
0.0000 0.0000 0.0000 Au
```


A PBEsol-optimized structure of ThSO, computed with SCAN.

electronic total energy	-40.565	eV/atom
crystal system	tetragonal
theoretical density	8.96	g/cm³
ΔE_f (raw)	-3.305	eV per atom
size of the total moment	0.000	μB/cell

Structure (POSCAR):
```
ThSO
1.0
3.9375 0.0000 0.0000
0.0000 3.9375 0.0000
0.0000 0.0000 6.6998
O S Th
2 2 2
Direct
0.5000 0.5000 0.0000 O
0.0000 0.0000 0.0000 O
0.0000 0.5000 0.6380 S
0.5000 0.0000 0.3620 S
0.5000 0.0000 0.7995 Th
0.0000 0.5000 0.2005 Th
```